4
Lattice="-2.350 -1.621 -2.155 3.078 -1.066 -2.554 0.570 -3.909 2.318" Properties=species:S:1:pos:R:3 comment="TlAgMo2, relaxed, DFT PBEsol" delta_e_f_ev_per_atom=0.60 dos_at_fermi_per_ev_atom=0.591 dft_energy_ry_per_atom=-0.498 spacegroup="No. 47" de_polymorph_mev_per_atom=152.6 pbc="T T T"
Mo 0.364 -1.343 -2.355
Mo 0.000 0.000 0.000
Tl -0.890 -2.765 0.081
Ag 1.824 -2.487 -0.118